# YCo2Os

YCo2Os after structural relaxation (PBE-GGA, Alexandria).

The energy of formation from the pure elements comes out at 0.3270 eV/atom. Its calculated total energy is -61.19 eV for the cell shown. The total magnetization is 0.934 μB per atom. Its volume is 16.13 A^3/atom.

The space group is Immm (No. 71) and the conventional cell measures 3.213, 4.611 and 8.709 Å, with angles of 90.00, 90.00 and 90.00 degrees. Symmetry generates all atoms from Y at (0.000, 0.000, 0.000), Co at (0.000, 0.500, 0.224) and Os at (0.000, 0.000, 0.500).

***

# YCo2Os

YCo2Os after structural relaxation (PBE-GGA, Alexandria).

The energy of formation from the pure elements comes out at 0.5883 eV/atom. Its calculated total energy is -88.66 eV for the cell shown. The total magnetization is 0.817 μB per atom. Its volume is 15.36 A^3/atom.

The space group is R3m (No. 160, hexagonal axes) and the conventional cell measures 2.8198, 2.8198 and 26.7593 Å, with angles of 90.00, 90.00 and 120.00 degrees. Symmetry generates all atoms from Y at (0.0000, 0.0000, 0.0000), Co at (0.0000, 0.0000, 0.4933), Co at (0.0000, 0.0000, 0.7586) and Os at (0.0000, 0.0000, 0.2342).

***

# YCoOs2

YCoOs2 after structural relaxation (PBE-GGA, Alexandria).

The energy of formation from the pure elements comes out at 0.4453 eV/atom. Its calculated total energy is -68.50 eV for the cell shown. The total magnetization is 0.155 μB per atom. Its volume is 16.19 A^3/atom.

The space group is I4/mmm (No. 139) and the conventional cell measures 3.879, 3.879 and 8.609 Å, with angles of 90.00, 90.00 and 90.00 degrees. Symmetry generates all atoms from Y at (0.000, 0.000, 0.000), Co at (0.000, 0.000, 0.500) and Os at (0.000, 0.500, 0.250).

***

# YCoOs2

YCoOs2 after structural relaxation (PBE-GGA, Alexandria).

The energy of formation from the pure elements comes out at 0.5748 eV/atom. Its calculated total energy is -101.19 eV for the cell shown. The total magnetization is 0.502 μB per atom. Its volume is 16.06 A^3/atom.

The space group is R3m (No. 160, hexagonal axes) and the conventional cell measures 2.8264, 2.8264 and 27.8603 Å, with angles of 90.00, 90.00 and 120.00 degrees. Symmetry generates all atoms from Y at (0.0000, 0.0000, 0.0000), Co at (0.0000, 0.0000, 0.2443), Os at (0.0000, 0.0000, 0.5052) and Os at (0.0000, 0.0000, 0.7630).

***

no.,E above lowest polymorph (meV/atom)
1,365
2,626
3,255
4,384